Record 1
First-principles (PBE) data for crystalline SrCaNb2 at its relaxed geometry, as listed in Alexandria via LeMat-Bulk.

```
SrCaNb2
1.0
8.6373 0.0000 0.0000
0.0000 8.6373 0.0000
4.3187 4.3187 2.9332
Sr Nb Ca
2 4 2
direct
0.0000 0.0000 0.0000
0.7500 0.2500 0.5000
0.6173 0.1250 0.2500
0.1327 0.6250 0.2500
0.3750 0.3827 0.7500
0.8750 0.8673 0.7500
0.5000 0.5000 0.0000
0.2500 0.7500 0.5000
```

Results
ΔE_f = 1362 meV/atom
SG = I-42d
Magnetic moment = 0.566 μB/atom

Record 2
First-principles (PBE) data for crystalline SrCaNb at its relaxed geometry, as listed in Alexandria via LeMat-Bulk.

```
SrCaNb
1.0
6.6846 0.0000 -0.0002
0.0000 6.0297 0.0000
-2.7429 0.0000 10.2989
Sr Nb Ca
4 4 4
direct
0.7973 0.0000 0.5744
0.2027 0.0000 0.4256
0.7973 0.5000 0.0744
0.2027 0.5000 0.9256
0.1183 0.0000 0.0942
0.8817 0.0000 0.9058
0.1183 0.5000 0.5942
0.8817 0.5000 0.4058
0.6483 0.0000 0.1965
0.3517 0.0000 0.8035
0.6483 0.5000 0.6965
0.3517 0.5000 0.3035
```

Results
ΔE_f = 527 meV/atom
SG = C2/m
Magnetic moment = 0.000 μB/atom

Record 3
First-principles (PBE) data for crystalline SrCaNb at its relaxed geometry, as listed in Alexandria via LeMat-Bulk.

```
SrCaNb
1.0
9.0654 0.0000 0.0019
0.0000 3.4619 0.0000
-1.2947 0.0000 5.8512
Sr Nb Ca
2 2 2
direct
0.6207 0.0000 0.3420
0.6207 0.5000 0.8420
0.9239 0.0000 0.1078
0.9239 0.5000 0.6078
0.2122 0.0000 0.8685
0.2122 0.5000 0.3685
```

Results
ΔE_f = 751 meV/atom
SG = Cm
Magnetic moment = 0.000 μB/atom

Record 4
First-principles (PBE) data for crystalline Ca2TaNb at its relaxed geometry, as listed in Alexandria via LeMat-Bulk.

```
Ca2TaNb
1.0
0.0000 3.7025 3.7025
3.7025 0.0000 3.7025
3.7025 3.7025 0.0000
Nb Ca Ta
1 2 1
direct
0.0000 0.0000 0.0000
0.2500 0.2500 0.2500
0.7500 0.7500 0.7500
0.5000 0.5000 0.5000
```

Results
ΔE_f = 1152 meV/atom
SG = Fm-3m
Magnetic moment = 0.004 μB/atom

Which value of ΔE_f does entry 1 give? 1362 meV/atom